La5TbHo4 | PBE-GGA | optimized geometry

Properties
Space-group type: P4/mmm (123)
ΔE_f in eV/atom: 0.02

Lattice parameters (Å, degrees): 3.6946 3.6946 25.0150 90.00 90.00 90.00
Atoms (fractional coordinates):
La 0.5000 0.5000 0.3004
Ho 0.0000 0.0000 0.4002
La 0.5000 0.5000 0.1008
La 0.5000 0.5000 0.5000
Ho 0.0000 0.0000 0.7993
Ho 0.0000 0.0000 0.5998
Tb 0.0000 0.0000 0.0000
La 0.5000 0.5000 0.8992
La 0.5000 0.5000 0.6996
Ho 0.0000 0.0000 0.2007

---

LaTb4Ho7 | PBE-GGA | optimized geometry

Properties
Energy above the most stable polymorph in this dataset in meV per atom: 265
Space-group type: C2/m (12)
ΔE_f in eV/atom: 0.27

Lattice parameters (Å, degrees): 5.8816 11.5273 6.7251 82.90 64.07 75.22
Atoms (fractional coordinates):
Tb 0.3702 0.7749 0.4846
Ho 0.9423 0.3345 0.7810
Ho 0.5000 0.0000 0.0000
Ho 0.0577 0.6655 0.2190
La 0.0000 0.0000 0.0000
Ho 0.6346 0.4955 0.2353
Ho 0.2104 0.0779 0.5012
Ho 0.3654 0.5045 0.7647
Ho 0.7896 0.9221 0.4988
Tb 0.6298 0.2251 0.5154
Tb 0.7487 0.6837 0.8190
Tb 0.2513 0.3163 0.1810

---

La7TbHo2 | PBE-GGA | optimized geometry

Properties
Energy above the most stable polymorph in this dataset in meV per atom: 268
Space-group type: Cmmm (65)
ΔE_f in eV/atom: 0.60

Lattice parameters (Å, degrees): 5.7978 9.3583 9.3584 123.09 90.00 90.00
Atoms (fractional coordinates):
La 0.5000 0.2949 0.0676
La 0.0000 0.7683 0.2317
La 0.5000 0.7051 0.9324
La 0.0000 0.2317 0.7683
Tb 0.0000 0.0000 0.0000
Ho 0.5000 0.7056 0.2944
La 0.5000 0.0676 0.2949
La 0.5000 0.9324 0.7051
Ho 0.5000 0.2944 0.7056
La 0.5000 0.5000 0.5000

---

La12Tb2Ho5 | PBE-GGA | optimized geometry

Properties
Energy above the most stable polymorph in this dataset in meV per atom: 0
Space-group type: C2/m (12)
ΔE_f in eV/atom: 0.10

Lattice parameters (Å, degrees): 11.7676 8.8586 9.5779 70.48 90.00 131.62
Atoms (fractional coordinates):
La 0.1748 0.7849 0.4189
La 0.5631 0.6115 0.8039
La 0.6101 0.7849 0.4189
Ho 0.1942 0.3884 0.6603
Tb 0.2753 0.0000 0.0000
La 0.8252 0.2151 0.5811
La 0.1162 0.2324 0.0551
La 0.4369 0.3885 0.1961
Ho 0.6896 0.3793 0.7682
La 0.0484 0.6115 0.8039
Tb 0.7247 0.0000 0.0000
La 0.8838 0.7676 0.9449
La 0.9516 0.3885 0.1961
La 0.3899 0.2151 0.5811
Ho 0.8058 0.6116 0.3397
La 0.5735 0.1469 0.2148
La 0.4265 0.8531 0.7852
Ho 0.0000 0.0000 0.5000
Ho 0.3104 0.6207 0.2318

---

La7Tb2Ho2 | PBE-GGA | optimized geometry

Properties
Energy above the most stable polymorph in this dataset in meV per atom: 0
Space-group type: C2/m (12)
ΔE_f in eV/atom: 0.12

Lattice parameters (Å, degrees): 6.2101 8.1893 8.1893 90.49 104.88 104.88
Atoms (fractional coordinates):
La 0.8165 0.0453 0.5839
La 0.1835 0.9547 0.4161
Tb 0.5000 0.7889 0.2111
La 0.8020 0.5730 0.5730
Ho 0.4091 0.7730 0.7730
La 0.0000 0.0000 0.0000
Tb 0.5000 0.2111 0.7889
Ho 0.5909 0.2270 0.2270
La 0.1835 0.4161 0.9547
La 0.8165 0.5839 0.0453
La 0.1980 0.4270 0.4270

---

La2Tb12Ho5 | PBE-GGA | optimized geometry

Properties
Energy above the most stable polymorph in this dataset in meV per atom: 0
Space-group type: P-1 (2)
ΔE_f in eV/atom: 0.09

Lattice parameters (Å, degrees): 6.7799 13.0272 12.3563 139.40 67.91 118.82
Atoms (fractional coordinates):
La 0.0811 0.8123 0.8840
Tb 0.0729 0.3573 0.9437
Tb 0.2909 0.6106 0.4759
Ho 0.6034 0.7473 0.7630
Tb 0.1490 0.4062 0.6400
Tb 0.4819 0.3865 0.0707
Tb 0.7091 0.3894 0.5241
Ho 0.5867 0.2177 0.6785
Tb 0.3890 0.9691 0.1958
La 0.9189 0.1877 0.1160
Tb 0.5181 0.6135 0.9293
Ho 0.0000 0.0000 0.5000
Tb 0.8510 0.5938 0.3600
Tb 0.9271 0.6427 0.0563
Tb 0.1278 0.9676 0.7182
Tb 0.6110 0.0309 0.8042
Ho 0.3966 0.2527 0.2370
Ho 0.4133 0.7823 0.3215
Tb 0.8722 0.0324 0.2818

---

LaTbHo2 | PBE-GGA | optimized geometry

Properties
Energy above the most stable polymorph in this dataset in meV per atom: 0
Space-group type: R3m (160)
ΔE_f in eV/atom: 0.01

Lattice parameters (Å, degrees): 3.6139 3.6139 11.7704 81.17 81.17 60.00
Atoms (fractional coordinates):
La 0.6662 0.6662 0.0013
Tb 0.5005 0.5005 0.4984
Ho 0.2482 0.2482 0.2553
Ho 0.0850 0.0850 0.7450

---

La2Tb3Ho | PBE-GGA | optimized geometry

Properties
Energy above the most stable polymorph in this dataset in meV per atom: 0
Space-group type: C2/c (15)
ΔE_f in eV/atom: 0.07

Lattice parameters (Å, degrees): 6.7310 9.1101 6.7312 82.25 84.71 97.74
Atoms (fractional coordinates):
La 0.3749 0.1247 0.1238
Tb 0.8330 0.9999 0.3338
Ho 0.0831 0.7501 0.0831
Tb 0.1670 0.0001 0.6662
Tb 0.6663 0.4999 0.1669
La 0.1238 0.3752 0.3749
Ho 0.9169 0.2499 0.9169
La 0.8762 0.6248 0.6251
Tb 0.5835 0.2500 0.5835
La 0.6251 0.8753 0.8762
Tb 0.4165 0.7500 0.4165
Tb 0.3337 0.5001 0.8331

---

| no. | VASP energy (eV per atom) | theoretical density (Mg/m³) | density of states at the Fermi level (states/eV/atom) |
| --- | --- | --- | --- |
| 1 | -4.7329 | 7.36 | 1.64 |
| 2 | -4.3562 | 8.08 | 1.72 |
| 3 | -4.2290 | 5.70 | 1.80 |
| 4 | -4.7043 | 6.99 | 1.45 |
| 5 | -4.6894 | 6.94 | 1.57 |
| 6 | -4.5584 | 8.03 | 1.50 |
| 7 | -4.6670 | 7.96 | 1.60 |
| 8 | -4.6548 | 7.58 | 1.56 |